Entry 1:
DFT (PBE) results for an optimized crystal structure of RbTi2Re.

Cell lengths 4.7664, 4.7664, 4.7664 Å; angles 60.00, 60.00, 60.00 degrees
With the nearest neighbours (Å) after each atom.
Sites, in units of the cell vectors:
1 Rb 0.0000 0.0000 0.0000  8 Ti 2.92
2 Ti 0.2500 0.2500 0.2500  4 Re 2.92, 4 Rb 2.92
3 Ti 0.7500 0.7500 0.7500  4 Rb 2.92, 4 Re 2.92
4 Re 0.5000 0.5000 0.5000  8 Ti 2.92

Output
As for the formation energy: 1.219 eV per atom. The energy above the most stable polymorph in this dataset is 0.000 eV per atom. As for the magnetic moment: 0.000 μB/atom. The total energy is -24.3 eV per cell. Its density of states at the Fermi level is 5.3 states/eV per cell.



Entry 2:
DFT (PBE) results for an optimized crystal structure of RbTi2Re.

Cell lengths 8.2035, 8.2035, 8.2035 Å; angles 133.30, 133.30, 68.18 degrees
With the nearest neighbours (Å) after each atom.
Sites, in units of the cell vectors:
1 Rb 0.3750 0.6250 0.7500  8 Ti 4.01
2 Rb 0.6250 0.3750 0.2500  8 Ti 4.01
3 Ti 0.0000 0.0000 0.0000  2 Re 2.35
4 Ti 0.0000 0.0000 0.5000  2 Re 2.35
5 Ti 0.0000 0.5000 0.0000  2 Re 2.35
6 Ti 0.5000 0.0000 0.5000  2 Re 2.35
7 Re 0.1250 0.8750 0.2500  4 Ti 2.35
8 Re 0.8750 0.1250 0.7500  4 Ti 2.35

Output
As for the formation energy: 1.326 eV per atom. The energy above the most stable polymorph in this dataset is 0.107 eV per atom. As for the magnetic moment: 0.082 μB/atom. The total energy is -47.8 eV per cell. Its density of states at the Fermi level is 9.7 states/eV per cell.



Entry 3:
DFT (PBE) results for an optimized crystal structure of RbTi2TlRe.

Cell lengths 5.2821, 5.2821, 5.9767 Å; angles 90.00, 90.00, 90.00 degrees
With the nearest neighbours (Å) after each atom.
Sites, in units of the cell vectors:
1 Rb 0.0000 0.0000 0.0000  2 Tl 2.99
2 Ti 0.0000 0.5000 0.5000  2 Tl 2.64
3 Ti 0.5000 0.0000 0.5000  2 Tl 2.64
4 Tl 0.0000 0.0000 0.5000  4 Ti 2.64
5 Re 0.5000 0.5000 0.0000  4 Rb 3.74, 8 Ti 3.99

Output
As for the formation energy: 2.189 eV per atom. The energy above the most stable polymorph in this dataset is 1.502 eV per atom. As for the magnetic moment: 0.017 μB/atom. The total energy is -20.6 eV per cell. Its density of states at the Fermi level is 10.4 states/eV per cell.



Entry 4:
DFT (PBE) results for an optimized crystal structure of RbTi2TlRe.

Cell lengths 4.9101, 4.9101, 5.5231 Å; angles 90.00, 90.00, 90.00 degrees
With the nearest neighbours (Å) after each atom.
Sites, in units of the cell vectors:
1 Rb 0.0000 0.0000 0.0000  4 Tl 3.47, 8 Ti 3.70
2 Ti 0.0000 0.5000 0.5000  2 Re 2.46
3 Ti 0.5000 0.0000 0.5000  2 Re 2.46
4 Tl 0.5000 0.5000 0.0000  2 Re 2.76
5 Re 0.5000 0.5000 0.5000  4 Ti 2.46

Output
As for the formation energy: 0.686 eV per atom. The energy above the most stable polymorph in this dataset is 0.000 eV per atom. As for the magnetic moment: 0.028 μB/atom. The total energy is -28.1 eV per cell. Its density of states at the Fermi level is 5.1 states/eV per cell.



Entry 5:
DFT (PBE) results for an optimized crystal structure of Rb2TiReW.

Cell lengths 6.6017, 6.6017, 4.6174 Å; angles 90.00, 90.00, 90.00 degrees
With the nearest neighbours (Å) after each atom.
Sites, in units of the cell vectors:
1 Rb 0.0000 0.5000 0.0000  2 W 3.30
2 Rb 0.5000 0.0000 0.0000  2 W 3.30
3 Ti 0.0000 0.0000 0.5000  2 W 2.31
4 Re 0.5000 0.5000 0.5000  8 Rb 4.03
5 W 0.0000 0.0000 0.0000  2 Ti 2.31

Output
As for the formation energy: 2.641 eV per atom. As for the magnetic moment: 1.012 μB/atom. The total energy is -22.0 eV per cell. Its density of states at the Fermi level is 5.4 states/eV per cell.



Entry 6:
DFT (PBE) results for an optimized crystal structure of Rb2ZrTiRe.

Cell lengths 6.2839, 6.2839, 4.4598 Å; angles 90.00, 90.00, 90.00 degrees
With the nearest neighbours (Å) after each atom.
Sites, in units of the cell vectors:
1 Rb 0.0000 0.5000 0.0000  2 Ti 3.14
2 Rb 0.5000 0.0000 0.0000  2 Ti 3.14
3 Zr 0.0000 0.0000 0.5000  8 Rb 3.85
4 Ti 0.5000 0.5000 0.0000  2 Re 2.23
5 Re 0.5000 0.5000 0.5000  2 Ti 2.23

Output
As for the formation energy: 2.052 eV per atom. As for the magnetic moment: 0.000 μB/atom. The total energy is -20.6 eV per cell. Its density of states at the Fermi level is 8.1 states/eV per cell.



Entry 7:
DFT (PBE) results for an optimized crystal structure of RbTlRe2.

Cell lengths 4.9372, 4.9372, 4.9372 Å; angles 60.00, 60.00, 60.00 degrees
With the nearest neighbours (Å) after each atom.
Sites, in units of the cell vectors:
1 Rb 0.0000 0.0000 0.0000  8 Re 3.02
2 Tl 0.5000 0.5000 0.5000  8 Re 3.02
3 Re 0.2500 0.2500 0.2500  4 Tl 3.02, 4 Rb 3.02
4 Re 0.7500 0.7500 0.7500  4 Tl 3.02, 4 Rb 3.02

Output
As for the formation energy: 2.393 eV per atom. The energy above the most stable polymorph in this dataset is 0.101 eV per atom. As for the magnetic moment: 0.977 μB/atom. The total energy is -18.7 eV per cell. Its density of states at the Fermi level is 2.9 states/eV per cell.



Entry 8:
DFT (PBE) results for an optimized crystal structure of RbTl2Re2.

Cell lengths 9.0492, 9.0492, 2.9419 Å; angles 90.00, 90.00, 90.00 degrees
With the nearest neighbours (Å) after each atom.
Sites, in units of the cell vectors:
1 Rb 0.0000 0.0000 0.0000  2 Rb 2.94
2 Rb 0.5000 0.5000 0.0000  2 Rb 2.94
3 Tl 0.1884 0.3116 0.5000  2 Tl 2.94, 6 Re 3.05-3.20
4 Tl 0.3116 0.8116 0.5000  2 Tl 2.94, 6 Re 3.05-3.20
5 Tl 0.6884 0.1884 0.5000  2 Tl 2.94, 6 Re 3.05-3.20
6 Tl 0.8116 0.6884 0.5000  2 Tl 2.94, 6 Re 3.05-3.20
7 Re 0.0893 0.5893 0.0000  1 Re 2.29
8 Re 0.4107 0.0893 0.0000  1 Re 2.29
9 Re 0.5893 0.9107 0.0000  1 Re 2.29
10 Re 0.9107 0.4107 0.0000  1 Re 2.29

Output
As for the formation energy: 0.881 eV per atom. As for the magnetic moment: 0.000 μB/atom. The total energy is -52.4 eV per cell. Its density of states at the Fermi level is 3.6 states/eV per cell.